Here is a relaxed structure of VRu2O from the Alexandria database. Energies are from PBE+U.

Results
The uncorrected energy is -114.44 eV/cell. The calculation puts the density at 7.17 g/cm³. The value obtained for the density of states at the Fermi level is 16.41 states/eV per cell.

Structure (CIF):
```
data_VRu2O
_chemical_formula_sum 'V4 Ru8 O4'
_cell_length_a 5.073
_cell_length_b 5.073
_cell_length_c 9.682
_cell_angle_alpha 90.00
_cell_angle_beta 90.00
_cell_angle_gamma 90.00
_space_group_name_H-M_alt 'I -4 2 d'
_space_group_IT_number 122
_space_group_name_Hall 'I -4 2bw'
loop_
_atom_site_label
_atom_site_type_symbol
_atom_site_fract_x
_atom_site_fract_y
_atom_site_fract_z
_atom_site_occupancy
V1 V 0.000 0.000 0.000 1
Ru1 Ru 0.186 0.250 0.625 1
O1 O 0.000 0.000 0.500 1
```